# LiSb2P3O11 | Alexandria via LeMat-Bulk | PBE-GGA | optimized geometry
# M_tot	0.00	μB/f.u.
# DOS(E_F)	0.0	states/eV per cell
# uncorrected formation energy	-187.2	kJ/mol of atoms
# calculated volume	14.11	Å³/atom
# total energy	-6.70	eV/atom
data_LiSb2P3O11
_space_group_name_H-M_alt 'C 1 2 1'
_space_group_IT_number 5
_cell_length_a 11.8165
_cell_length_b 9.2628
_cell_length_c 9.3559
_cell_angle_alpha 90.00
_cell_angle_beta 110.43
_cell_angle_gamma 90.00
loop_
_space_group_symop_operation_xyz
'x,y,z'
'-x,y,-z'
'x+1/2,y+1/2,z'
'-x+1/2,y+1/2,-z'
loop_
_atom_site_label
_atom_site_type_symbol
_atom_site_fract_x
_atom_site_fract_y
_atom_site_fract_z
Li1 Li 0.2179 0.0000 0.1823
Sb1 Sb 0.1050 0.4974 0.3104
Sb2 Sb 0.1093 0.9882 0.7970
P1 P 0.0000 0.7250 0.5000
P2 P 0.0000 0.7617 0.0000
P3 P 0.1277 0.1525 0.4707
P4 P 0.1341 0.3141 0.9934
O1 O 0.0000 0.1247 0.5000
O2 O 0.0000 0.3432 0.0000
O3 O 0.0512 0.8122 0.6476
O4 O 0.0654 0.6767 0.1448
O5 O 0.0983 0.8646 0.9764
O6 O 0.1044 0.6260 0.4919
O7 O 0.1151 0.0809 0.3198
O8 O 0.1384 0.3822 0.8487
O9 O 0.1558 0.3129 0.4866
O10 O 0.1622 0.1531 0.0164
O11 O 0.2131 0.3993 0.1408
O12 O 0.2145 0.0656 0.6113